Density functional theory data (GGA-PBE) for LiPr4Pd2 after structural relaxation.

Unit cell a=9.3661 b=9.3661 c=9.3661 alpha=31.49 beta=31.49 gamma=31.49
Element x y z (fractional)
1 Li 0.0000 0.0000 0.0000
2 Pr 0.2090 0.2090 0.2090
3 Pr 0.3800 0.3800 0.3800
4 Pr 0.6200 0.6200 0.6200
5 Pr 0.7910 0.7910 0.7910
6 Pd 0.0947 0.0947 0.0947
7 Pd 0.9053 0.9053 0.9053

## Properties
Calculated formation energy (eV per atom): -0.31
Magnetic moment (μB per cell): 0.00

---

Density functional theory data (GGA-PBE) for Li6Pr2Pd3 after structural relaxation.

Unit cell a=7.8769 b=7.8769 c=4.0353 alpha=90.00 beta=90.00 gamma=120.00
Element x y z (fractional)
1 Li 0.0000 0.2550 0.0000
2 Li 0.0000 0.7923 0.5000
3 Li 0.2077 0.2077 0.5000
4 Li 0.2550 0.0000 0.0000
5 Li 0.7450 0.7450 0.0000
6 Li 0.7923 0.0000 0.5000
7 Pr 0.3333 0.6667 0.5000
8 Pr 0.6667 0.3333 0.5000
9 Pd 0.0000 0.5901 0.0000
10 Pd 0.4099 0.4099 0.0000
11 Pd 0.5901 0.0000 0.0000

## Properties
Calculated formation energy (eV per atom): -0.35
Magnetic moment (μB per cell): 0.00

---

Density functional theory data (GGA-PBE) for Li6Pr3Pd5 after structural relaxation.

Unit cell a=4.1300 b=12.7298 c=10.3003 alpha=90.00 beta=90.00 gamma=90.00
Element x y z (fractional)
1 Li 0.2500 0.0639 0.0775
2 Li 0.2500 0.2500 0.5177
3 Li 0.2500 0.2500 0.9490
4 Li 0.2500 0.4361 0.0775
5 Li 0.2500 0.5931 0.4928
6 Li 0.2500 0.9069 0.4928
7 Li 0.7500 0.0931 0.5072
8 Li 0.7500 0.4069 0.5072
9 Li 0.7500 0.5639 0.9225
10 Li 0.7500 0.7500 0.0510
11 Li 0.7500 0.7500 0.4823
12 Li 0.7500 0.9361 0.9225
13 Pr 0.2500 0.0687 0.7520
14 Pr 0.2500 0.4313 0.7520
15 Pr 0.2500 0.7500 0.7723
16 Pr 0.7500 0.2500 0.2277
17 Pr 0.7500 0.5687 0.2480
18 Pr 0.7500 0.9313 0.2480
19 Pd 0.2500 0.0928 0.3388
20 Pd 0.2500 0.4072 0.3388
21 Pd 0.2500 0.6370 0.0420
22 Pd 0.2500 0.7500 0.2827
23 Pd 0.2500 0.8630 0.0420
24 Pd 0.7500 0.1370 0.9580
25 Pd 0.7500 0.2500 0.7173
26 Pd 0.7500 0.3630 0.9580
27 Pd 0.7500 0.5928 0.6612
28 Pd 0.7500 0.9072 0.6612

## Properties
Calculated formation energy (eV per atom): -0.48
Magnetic moment (μB per cell): 0.00

---

Density functional theory data (GGA-PBE) for LiPr3Pd3 after structural relaxation.

Unit cell a=6.8979 b=6.8979 c=7.6494 alpha=93.44 beta=93.44 gamma=110.74
Element x y z (fractional)
1 Li 0.2242 0.2242 0.4704
2 Li 0.7758 0.7758 0.5296
3 Pr 0.1399 0.1399 0.8462
4 Pr 0.2699 0.7301 0.5000
5 Pr 0.3121 0.6879 0.0000
6 Pr 0.6879 0.3121 0.0000
7 Pr 0.7301 0.2699 0.5000
8 Pr 0.8601 0.8601 0.1538
9 Pd 0.0648 0.3369 0.2147
10 Pd 0.3369 0.0648 0.2147
11 Pd 0.4887 0.4887 0.7068
12 Pd 0.5113 0.5113 0.2932
13 Pd 0.6631 0.9352 0.7853
14 Pd 0.9352 0.6631 0.7853

## Properties
Energy above the lowest structure with this stoichiometry (kJ/mol of formula units): 68
Calculated formation energy (eV per atom): -0.55
Magnetic moment (μB per cell): 0.00

---

Density functional theory data (GGA-PBE) for LiPrPd after structural relaxation.

Unit cell a=4.1379 b=4.1379 c=7.8489 alpha=90.00 beta=90.00 gamma=90.00
Element x y z (fractional)
1 Li 0.2500 0.7500 0.0000
2 Li 0.7500 0.2500 0.0000
3 Pr 0.2500 0.2500 0.3373
4 Pr 0.7500 0.7500 0.6627
5 Pd 0.2500 0.2500 0.7432
6 Pd 0.7500 0.7500 0.2568

## Properties
Energy above the lowest structure with this stoichiometry (kJ/mol of formula units): 0
Calculated formation energy (eV per atom): -0.53
Magnetic moment (μB per cell): 0.00

---

Density functional theory data (GGA-PBE) for Li2Pr2Pd5 after structural relaxation.

Unit cell a=4.4598 b=4.4598 c=8.3731 alpha=90.00 beta=90.00 gamma=90.00
Element x y z (fractional)
1 Li 0.0000 0.0000 0.1500
2 Li 0.0000 0.0000 0.8500
3 Pr 0.5000 0.5000 0.0000
4 Pr 0.5000 0.5000 0.5000
5 Pd 0.0000 0.0000 0.5000
6 Pd 0.0000 0.5000 0.2601
7 Pd 0.0000 0.5000 0.7399
8 Pd 0.5000 0.0000 0.2601
9 Pd 0.5000 0.0000 0.7399

## Properties
Calculated formation energy (eV per atom): -0.59
Magnetic moment (μB per cell): 0.00

---

Density functional theory data (GGA-PBE) for LiPr4Pd3 after structural relaxation.

Unit cell a=3.9410 b=4.7152 c=11.0634 alpha=90.00 beta=90.00 gamma=90.00
Element x y z (fractional)
1 Li 0.0000 0.0000 0.0000
2 Pr 0.0000 0.0000 0.3034
3 Pr 0.0000 0.5000 0.5711
4 Pr 0.5000 0.0000 0.7845
5 Pr 0.5000 0.5000 0.0747
6 Pd 0.0000 0.5000 0.8600
7 Pd 0.5000 0.0000 0.5199
8 Pd 0.5000 0.5000 0.3530

## Properties
Calculated formation energy (eV per atom): -0.55
Magnetic moment (μB per cell): 0.00

---

Density functional theory data (GGA-PBE) for Li5PrPd2 after structural relaxation.

Unit cell a=6.5917 b=6.5917 c=6.5917 alpha=144.84 beta=103.18 gamma=87.39
Element x y z (fractional)
1 Li 0.0000 0.0000 0.0000
2 Li 0.0157 0.3333 0.6824
3 Li 0.3490 0.6667 0.6824
4 Li 0.6510 0.3333 0.3176
5 Li 0.9843 0.6667 0.3176
6 Pr 0.5000 0.0000 0.5000
7 Pd 0.2721 0.2721 0.0000
8 Pd 0.7279 0.7279 0.0000

## Properties
Calculated formation energy (eV per atom): -0.33
Magnetic moment (μB per cell): 0.00

---

Density functional theory data (GGA-PBE) for Li9PrPd2 after structural relaxation.

Unit cell a=8.5693 b=8.5693 c=8.5693 alpha=100.37 beta=100.37 gamma=129.80
Element x y z (fractional)
1 Li 0.0749 0.2459 0.4280
2 Li 0.0749 0.6469 0.8290
3 Li 0.2459 0.0749 0.9280
4 Li 0.2459 0.3178 0.1710
5 Li 0.3178 0.2459 0.6710
6 Li 0.3178 0.6469 0.0720
7 Li 0.3531 0.6822 0.4280
8 Li 0.3531 0.9251 0.6710
9 Li 0.3750 0.6250 0.7500
10 Li 0.6250 0.3750 0.2500
11 Li 0.6469 0.0749 0.3290
12 Li 0.6469 0.3178 0.5720
13 Li 0.6822 0.3531 0.9280
14 Li 0.6822 0.7541 0.3290
15 Li 0.7541 0.6822 0.8290
16 Li 0.7541 0.9251 0.0720
17 Li 0.9251 0.3531 0.1710
18 Li 0.9251 0.7541 0.5720
19 Pr 0.1250 0.8750 0.2500
20 Pr 0.8750 0.1250 0.7500
21 Pd 0.0000 0.5000 0.5000
22 Pd 0.5000 0.0000 0.0000
23 Pd 0.5000 0.5000 0.0000
24 Pd 0.5000 0.5000 0.5000

## Properties
Calculated formation energy (eV per atom): -0.16
Magnetic moment (μB per cell): 0.01

---

Density functional theory data (GGA-PBE) for Li3PrPd2 after structural relaxation.

Unit cell a=7.3573 b=7.3573 c=8.4077 alpha=116.20 beta=116.20 gamma=33.43
Element x y z (fractional)
1 Li 0.0604 0.0604 0.3933
2 Li 0.2886 0.2886 0.4695
3 Li 0.4165 0.4165 0.3153
4 Li 0.5835 0.5835 0.6847
5 Li 0.7114 0.7114 0.5305
6 Li 0.9396 0.9396 0.6067
7 Pr 0.1375 0.1375 0.0275
8 Pr 0.8625 0.8625 0.9725
9 Pd 0.2101 0.2101 0.7331
10 Pd 0.4431 0.4431 0.8116
11 Pd 0.5569 0.5569 0.1884
12 Pd 0.7899 0.7899 0.2669

## Properties
Calculated formation energy (eV per atom): -0.46
Magnetic moment (μB per cell): 0.00

---

Density functional theory data (GGA-PBE) for LiPrPdPt after structural relaxation.

Unit cell a=4.8437 b=4.8437 c=4.8437 alpha=60.00 beta=60.00 gamma=60.00
Element x y z (fractional)
1 Li 0.0000 0.0000 0.0000
2 Pr 0.5000 0.5000 0.5000
3 Pd 0.7500 0.7500 0.7500
4 Pt 0.2500 0.2500 0.2500

## Properties
Energy above the lowest structure with this stoichiometry (kJ/mol of formula units): 22
Calculated formation energy (eV per atom): -0.68
Magnetic moment (μB per cell): 0.00